(1)
First-principles (PBE-GGA) data for crystalline BaNaF at its relaxed geometry, as listed in the Alexandria database.

The value obtained for the uncorrected formation energy is -1.784 eV/atom. Its total energy is -3.4884 eV/atom. The value obtained for the energy above the most stable polymorph in this dataset is 0.112 eV/atom.

The space group is P-6m2 (No. 187) and the conventional cell measures 4.5667, 4.5667 and 5.5442 Å, with angles of 90.00, 90.00 and 120.00 degrees. The distinct sites, in fractional coordinates, are Ba at (0.0000, 0.0000, 0.0000), Na at (0.3333, 0.6667, 0.5000) and F at (0.3333, 0.6667, 0.0000).

(2)
First-principles (PBE-GGA) data for crystalline Sm3BiO6 at its relaxed geometry, as listed in the Alexandria database.

The value obtained for the uncorrected formation energy is -2.860 eV/atom. Its total energy is -7.6383 eV/atom. The value obtained for the energy above the most stable polymorph in this dataset is 0.000 eV/atom.

The space group is R-3 (No. 148, hexagonal axes) and the conventional cell measures 9.9874, 9.9874 and 11.7456 Å, with angles of 90.00, 90.00 and 120.00 degrees. The distinct sites, in fractional coordinates, are Sm at (0.0386, 0.2648, 0.2098), Bi at (0.0000, 0.0000, 0.0000), Bi at (0.0000, 0.0000, 0.5000), O at (0.0254, 0.2232, 0.4032) and O at (0.0281, 0.1883, 0.8654).

(3)
First-principles (PBE-GGA) data for crystalline Zr2SeF at its relaxed geometry, as listed in the Alexandria database.

The value obtained for the uncorrected formation energy is -1.222 eV/atom. Its total energy is -6.8352 eV/atom. The value obtained for the energy above the most stable polymorph in this dataset is 0.009 eV/atom.

The space group is I-42d (No. 122) and the conventional cell measures 6.853, 6.853 and 6.180 Å, with angles of 90.00, 90.00 and 90.00 degrees. The distinct sites, in fractional coordinates, are Zr at (0.179, 0.250, 0.125), Se at (0.000, 0.000, 0.500) and F at (0.000, 0.000, 0.000).

(4)
First-principles (PBE-GGA) data for crystalline RbSiSbS4 at its relaxed geometry, as listed in the Alexandria database.

The value obtained for the uncorrected formation energy is -0.729 eV/atom. Its total energy is -4.5890 eV/atom.

The space group is P2_1/m (No. 11) and the conventional cell measures 6.876, 6.747 and 9.116 Å, with angles of 90.00, 108.25 and 90.00 degrees. The distinct sites, in fractional coordinates, are Rb at (0.222, 0.250, 0.448), Si at (0.253, 0.750, 0.171), Sb at (0.261, 0.250, 0.997), S at (0.065, 0.750, 0.931), S at (0.075, 0.750, 0.318) and S at (0.459, 0.501, 0.207).

(5)
First-principles (PBE-GGA) data for crystalline Ho2Ga2Ru2C at its relaxed geometry, as listed in the Alexandria database.

Its total energy is -6.6984 eV/atom. The calculation puts the formation energy at -53.8 kJ per mole of atoms.

The space group is C2/m (No. 12) and the conventional cell measures 11.054, 4.047 and 7.025 Å, with angles of 90.00, 127.65 and 90.00 degrees. The distinct sites, in fractional coordinates, are Ho at (0.062, 0.000, 0.288), Ga at (0.148, 0.500, 0.687), Ru at (0.199, 0.500, 0.092) and C at (0.000, 0.500, 0.000).

(6)
First-principles (PBE-GGA) data for crystalline BeCuF2 at its relaxed geometry, as listed in the Alexandria database.

The value obtained for the uncorrected formation energy is -1.413 eV/atom. Its total energy is -4.3042 eV/atom. The value obtained for the energy above the most stable polymorph in this dataset is 0.587 eV/atom.

The space group is R-3m (No. 166, hexagonal axes) and the conventional cell measures 2.7907, 2.7907 and 26.8804 Å, with angles of 90.00, 90.00 and 120.00 degrees. The distinct sites, in fractional coordinates, are Be at (0.0000, 0.0000, 0.0000), Cu at (0.0000, 0.0000, 0.5000) and F at (0.0000, 0.0000, 0.0511).

(7)
First-principles (PBE-GGA) data for crystalline Cu2PdS at its relaxed geometry, as listed in the Alexandria database.

The value obtained for the uncorrected formation energy is 0.360 eV/atom. Its total energy is -4.0185 eV/atom.

The space group is I-42d (No. 122) and the conventional cell measures 5.476, 5.476 and 10.529 Å, with angles of 90.00, 90.00 and 90.00 degrees. The distinct sites, in fractional coordinates, are Cu at (0.195, 0.250, 0.125), Pd at (0.000, 0.000, 0.500) and S at (0.000, 0.000, 0.000).

(8)
First-principles (PBE-GGA) data for crystalline Tb3PrY2Se6 at its relaxed geometry, as listed in the Alexandria database.

The value obtained for the uncorrected formation energy is -1.783 eV/atom. Its total energy is -6.1584 eV/atom.

The space group is C2/m (No. 12) and the conventional cell measures 7.117, 12.386 and 7.145 Å, with angles of 90.00, 109.45 and 90.00 degrees. The distinct sites, in fractional coordinates, are Tb at (0.000, 0.000, 0.000), Tb at (0.000, 0.340, 0.000), Pr at (0.000, 0.500, 0.500), Y at (0.000, 0.166, 0.500), Se at (0.240, 0.000, 0.751) and Se at (0.243, 0.172, 0.244).

(9)
First-principles (PBE-GGA) data for crystalline Sr3Hg3Pb at its relaxed geometry, as listed in the Alexandria database.

Its total energy is -1.8163 eV/atom. The calculation puts the formation energy at -42.1 kJ per mole of atoms. The value obtained for the energy above the most stable polymorph in this dataset is 0.039 eV/atom.

The space group is P6_3/m (No. 176) and the conventional cell measures 10.0297, 10.0297 and 5.3739 Å, with angles of 90.00, 90.00 and 120.00 degrees. The distinct sites, in fractional coordinates, are Sr at (0.0985, 0.4286, 0.2500), Hg at (0.0432, 0.2100, 0.7500) and Pb at (0.3333, 0.6667, 0.7500).

(10)
First-principles (PBE-GGA) data for crystalline YEr2Ru2 at its relaxed geometry, as listed in the Alexandria database.

Its total energy is -7.1627 eV/atom. The calculation puts the formation energy at -32.3 kJ per mole of atoms. The value obtained for the energy above the most stable polymorph in this dataset is 0.000 eV/atom.

The space group is Cmmm (No. 65) and the conventional cell measures 3.395, 20.200 and 3.368 Å, with angles of 90.00, 90.00 and 90.00 degrees. The distinct sites, in fractional coordinates, are Y at (0.000, 0.000, 0.000), Er at (0.000, 0.166, 0.000) and Ru at (0.000, 0.410, 0.500).

(11)
First-principles (PBE-GGA) data for crystalline Ca2SiNi at its relaxed geometry, as listed in the Alexandria database.

The value obtained for the uncorrected formation energy is -0.280 eV/atom. Its total energy is -4.0817 eV/atom.

The space group is Imm2 (No. 44) and the conventional cell measures 3.567, 4.859 and 10.191 Å, with angles of 90.00, 90.00 and 90.00 degrees. The distinct sites, in fractional coordinates, are Ca at (0.000, 0.000, 0.000), Ca at (0.000, 0.500, 0.207), Si at (0.000, 0.000, 0.423) and Ni at (0.000, 0.500, 0.789).

(12)
First-principles (PBE-GGA) data for crystalline Tb6PmDy2Tm3 at its relaxed geometry, as listed in the Alexandria database.

Its total energy is -4.5782 eV/atom. The calculation puts the formation energy at 1.7 kJ per mole of atoms.

The space group is C2/m (No. 12) and the conventional cell measures 6.145, 10.631 and 11.741 Å, with angles of 90.00, 100.01 and 90.00 degrees. The distinct sites, in fractional coordinates, are Tb at (0.248, 0.167, 0.247), Tb at (0.249, 0.500, 0.247), Pm at (0.000, 0.500, 0.500), Dy at (0.000, 0.167, 0.500), Tm at (0.000, 0.000, 0.000) and Tm at (0.000, 0.333, 0.000).